No. 1
Material: ReNiIrRh
Method: DFT, PBE-GGA
State: relaxed

For the density, the calculation gives 16.35 g/cm3. The total energy is -8.597 eV/atom. The calculation puts the volume at 54.85 Å³/cell. Its space-group type is Amm2 (38).

Cell: 2.6778 4.0867 5.1898 Å, 90.00 105.03 90.00°
Last column: nearest neighbours and their distance in Å.
Positions (direct):
Re1 0.3577 0.0000 0.6471  1 Ni 2.48, 2 Re 2.68, 4 Rh 2.70-2.71
Ni1 0.6074 0.0000 0.1428  2 Rh 2.46, 1 Re 2.48, 4 Ir 2.66, 2 Ni 2.68
Ir1 0.0018 0.5000 0.9338  3 Rh 2.60-2.76, 4 Ni 2.66, 2 Ir 2.68, 4 Re 2.83
Rh1 0.7409 0.5000 0.4154  2 Ni 2.46, 1 Ir 2.60, 2 Rh 2.68, 4 Re 2.70-2.71


No. 2
Material: K2FePt
Method: DFT, PBE-GGA
State: relaxed

For the density, the calculation gives 5.80 g/cm3. The total energy is -3.397 eV/atom. The distance to the lowest polymorph of the same formula is 0.569 eV per atom. The calculation puts the volume at 94.27 Å³/cell. Its space-group type is P4/mmm (123).

Cell: 2.9516 2.9516 10.8207 Å, 90.00 90.00 90.00°
Last column: nearest neighbours and their distance in Å.
Positions (direct):
Fe1 0.5000 0.5000 0.7500  4 Fe 2.95
K1 0.0000 0.0000 0.0214  4 K 2.95, 4 Pt 3.24
K2 0.0000 0.0000 0.4786  4 K 2.95, 4 Pt 3.24
Pt1 0.5000 0.5000 0.2500  4 Pt 2.95, 8 K 3.24


No. 3
Material: BiSbAu3
Method: DFT, PBE-GGA
State: relaxed

For the density, the calculation gives 11.95 g/cm3. The total energy is -3.550 eV/atom. The distance to the lowest polymorph of the same formula is 0.000 eV per atom. The calculation puts the volume at 512.17 Å³/cell. Its space-group type is P2_1/c (14).

Cell: 5.3594 10.8318 12.4436 Å, 134.85 90.00 90.00°
Last column: nearest neighbours and their distance in Å.
Positions (direct):
Bi1 0.7344 0.6129 0.4937  6 Au 2.90-3.06
Bi2 0.2656 0.3871 0.5063  6 Au 2.90-3.06
Bi3 0.2344 0.8871 0.0063  6 Au 2.90-3.06
Bi4 0.7656 0.1129 0.9937  6 Au 2.90-3.06
Sb1 0.1431 0.4879 0.1249  5 Au 2.73-2.91
Sb2 0.8569 0.5121 0.8751  5 Au 2.73-2.91
Sb3 0.6431 0.0121 0.3751  5 Au 2.73-2.91
Sb4 0.3569 0.9879 0.6249  5 Au 2.73-2.91
Au1 0.2038 0.2718 0.2152  4 Au 2.86-2.96, 3 Bi 2.90-3.06
Au2 0.7962 0.7282 0.7848  4 Au 2.86-2.96, 3 Bi 2.90-3.06
Au3 0.7038 0.2282 0.2848  4 Au 2.86-2.96, 3 Bi 2.90-3.06
Au4 0.2962 0.7718 0.7152  4 Au 2.86-2.96, 3 Bi 2.90-3.06
Au5 0.2329 0.6406 0.4130  2 Sb 2.73-2.75, 3 Au 2.86-3.03, 2 Bi 2.94-2.96
Au6 0.7671 0.3594 0.5870  2 Sb 2.73-2.75, 3 Au 2.86-3.03, 2 Bi 2.94-2.96
Au7 0.7329 0.8594 0.0870  2 Sb 2.73-2.75, 3 Au 2.86-3.03, 2 Bi 2.94-2.96
Au8 0.2671 0.1406 0.9130  2 Sb 2.73-2.75, 3 Au 2.86-3.03, 2 Bi 2.94-2.96
Au9 0.8426 0.9098 0.5191  3 Sb 2.77-2.91, 2 Au 2.86-3.03, 1 Bi 3.06
Au10 0.1574 0.0902 0.4809  3 Sb 2.77-2.91, 2 Au 2.86-3.03, 1 Bi 3.06
Au11 0.3426 0.5902 0.9809  3 Sb 2.77-2.91, 2 Au 2.86-3.03, 1 Bi 3.06
Au12 0.6574 0.4098 0.0191  3 Sb 2.77-2.91, 2 Au 2.86-3.03, 1 Bi 3.06


No. 4
Material: AgC3
Method: DFT, PBE-GGA
State: relaxed

For the density, the calculation gives 5.29 g/cm3. The total energy is -4.177 eV/atom. The distance to the lowest polymorph of the same formula is 2.495 eV per atom. The calculation puts the volume at 45.18 Å³/cell. Its space-group type is Cmmm (65).

Cell: 3.8968 3.8968 3.4907 Å, 90.00 90.00 121.52°
Last column: nearest neighbours and their distance in Å.
Positions (direct):
C1 0.0000 0.5000 0.5000  2 C 1.90
C2 0.5000 0.0000 0.5000  2 C 1.90
C3 0.5000 0.5000 0.0000  2 Ag 1.90
Ag1 0.0000 0.0000 0.0000  2 C 1.90


No. 5
Material: PmPr3Cd6
Method: DFT, PBE-GGA
State: relaxed

For the density, the calculation gives 7.50 g/cm3. The total energy is -2.754 eV/atom. The calculation puts the volume at 549.99 Å³/cell. Its space-group type is P2_1/m (11).

Cell: 5.2817 9.5280 11.3418 Å, 105.51 90.00 90.00°
Last column: nearest neighbours and their distance in Å.
Positions (direct):
Pm1 0.2500 0.9442 0.6097  8 Cd 3.14-3.39
Pm2 0.7500 0.0558 0.3903  8 Cd 3.14-3.39
Pr1 0.2500 0.5230 0.3913  8 Cd 3.23-3.57
Pr2 0.7500 0.4770 0.6087  8 Cd 3.23-3.57
Pr3 0.2500 0.3496 0.7852  8 Cd 3.25-3.43
Pr4 0.7500 0.6504 0.2148  8 Cd 3.25-3.43
Pr5 0.2500 0.7649 0.0036  8 Cd 3.21-3.41
Pr6 0.7500 0.2351 0.9964  8 Cd 3.21-3.41
Cd1 0.2500 0.4486 0.0901  7 Pr 3.30-3.41, 3 Cd 3.38-3.63
Cd2 0.7500 0.5514 0.9099  7 Pr 3.30-3.41, 3 Cd 3.38-3.63
Cd3 0.2500 0.1447 0.1906  8 Cd 3.20-3.38
Cd4 0.7500 0.8553 0.8094  8 Cd 3.20-3.38
Cd5 0.2500 0.6666 0.7096  1 Pm 3.14, 5 Pr 3.21-3.50, 2 Cd 3.22
Cd6 0.7500 0.3334 0.2904  1 Pm 3.14, 5 Pr 3.21-3.50, 2 Cd 3.22
Cd7 0.2500 0.2331 0.4880  3 Pm 3.17-3.39, 4 Pr 3.23-3.54, 1 Cd 3.25
Cd8 0.7500 0.7669 0.5120  3 Pm 3.17-3.39, 4 Pr 3.23-3.54, 1 Cd 3.25
Cd9 0.2500 0.8591 0.3085  3 Pm 3.23-3.29, 4 Pr 3.31-3.57, 2 Cd 3.34-3.60
Cd10 0.7500 0.1409 0.6915  3 Pm 3.23-3.29, 4 Pr 3.31-3.57, 2 Cd 3.34-3.60
Cd11 0.2500 0.0496 0.8981  1 Pm 3.15, 3 Cd 3.20-3.23, 4 Pr 3.21-3.43
Cd12 0.7500 0.9504 0.1019  1 Pm 3.15, 3 Cd 3.20-3.23, 4 Pr 3.21-3.43


No. 6
Material: KTl2SnBr6
Method: DFT, PBE-GGA
State: relaxed

For the density, the calculation gives 4.63 g/cm3. The total energy is -2.930 eV/atom. The calculation puts the volume at 750.80 Å³/cell. Its space-group type is P2_1/c (14).

Cell: 7.7239 8.6186 11.2969 Å, 90.00 86.72 90.00°
Last column: nearest neighbours and their distance in Å.
Positions (direct):
K1 0.5000 0.0000 0.0000  6 Br 3.26-3.37
K2 0.0000 0.5000 0.5000  6 Br 3.26-3.37
Tl1 0.0308 0.9253 0.2664  6 Br 3.31-3.56
Tl2 0.5308 0.5747 0.7664  6 Br 3.31-3.56
Tl3 0.9692 0.0747 0.7336  6 Br 3.31-3.56
Tl4 0.4692 0.4253 0.2336  6 Br 3.31-3.56
Sn1 0.5000 0.0000 0.5000  6 Br 2.82-2.83
Sn2 0.0000 0.5000 0.0000  6 Br 2.82-2.83
Br1 0.3042 0.6680 0.0405  1 Sn 2.82
Br2 0.8042 0.8320 0.5405  1 Sn 2.82
Br3 0.6958 0.3320 0.9595  1 Sn 2.82
Br4 0.1958 0.1680 0.4595  1 Sn 2.82
Br5 0.3424 0.7266 0.4186  1 Sn 2.83
Br6 0.8424 0.7734 0.9186  1 Sn 2.83
Br7 0.6576 0.2734 0.5814  1 Sn 2.83
Br8 0.1576 0.2266 0.0814  1 Sn 2.83
Br9 0.8674 0.5670 0.2319  1 Sn 2.82
Br10 0.3674 0.9330 0.7319  1 Sn 2.82
Br11 0.1326 0.4330 0.7681  1 Sn 2.82
Br12 0.6326 0.0670 0.2681  1 Sn 2.82


Copy entry 4 word for word.
Material: AgC3
Method: DFT, PBE-GGA
State: relaxed

For the density, the calculation gives 5.29 g/cm3. The total energy is -4.177 eV/atom. The distance to the lowest polymorph of the same formula is 2.495 eV per atom. The calculation puts the volume at 45.18 Å³/cell. Its space-group type is Cmmm (65).

Cell: 3.8968 3.8968 3.4907 Å, 90.00 90.00 121.52°
Last column: nearest neighbours and their distance in Å.
Positions (direct):
C1 0.0000 0.5000 0.5000  2 C 1.90
C2 0.5000 0.0000 0.5000  2 C 1.90
C3 0.5000 0.5000 0.0000  2 Ag 1.90
Ag1 0.0000 0.0000 0.0000  2 C 1.90


Which value of total energy does entry 1 give? -8.597 eV/atom


Repeat the second record exactly.
Material: K2FePt
Method: DFT, PBE-GGA
State: relaxed

For the density, the calculation gives 5.80 g/cm3. The total energy is -3.397 eV/atom. The distance to the lowest polymorph of the same formula is 0.569 eV per atom. The calculation puts the volume at 94.27 Å³/cell. Its space-group type is P4/mmm (123).

Cell: 2.9516 2.9516 10.8207 Å, 90.00 90.00 90.00°
Last column: nearest neighbours and their distance in Å.
Positions (direct):
Fe1 0.5000 0.5000 0.7500  4 Fe 2.95
K1 0.0000 0.0000 0.0214  4 K 2.95, 4 Pt 3.24
K2 0.0000 0.0000 0.4786  4 K 2.95, 4 Pt 3.24
Pt1 0.5000 0.5000 0.2500  4 Pt 2.95, 8 K 3.24


What did the second record say?
Material: K2FePt
Method: DFT, PBE-GGA
State: relaxed

For the density, the calculation gives 5.80 g/cm3. The total energy is -3.397 eV/atom. The distance to the lowest polymorph of the same formula is 0.569 eV per atom. The calculation puts the volume at 94.27 Å³/cell. Its space-group type is P4/mmm (123).

Cell: 2.9516 2.9516 10.8207 Å, 90.00 90.00 90.00°
Last column: nearest neighbours and their distance in Å.
Positions (direct):
Fe1 0.5000 0.5000 0.7500  4 Fe 2.95
K1 0.0000 0.0000 0.0214  4 K 2.95, 4 Pt 3.24
K2 0.0000 0.0000 0.4786  4 K 2.95, 4 Pt 3.24
Pt1 0.5000 0.5000 0.2500  4 Pt 2.95, 8 K 3.24